[1]
# Ta2SiMo | the Alexandria database | PBE-GGA | relaxed
# Total magnetization   0.00 μB per formula unit
# E_form (uncorrected)   -0.069 eV per atom
data_Ta2SiMo
_cell_length_a 2.8288
_cell_length_b 4.5154
_cell_length_c 5.2248
_cell_angle_alpha 90.00
_cell_angle_beta 99.90
_cell_angle_gamma 90.00
_symmetry_space_group_name_H-M 'P 1 2/m 1'
_symmetry_Int_Tables_number 10
loop_
_symmetry_equiv_pos_as_xyz
'x,y,z'
'-x,-y,-z'
'-x,y,-z'
'x,-y,z'
loop_
_atom_site_label
_atom_site_type_symbol
_atom_site_fract_x
_atom_site_fract_y
_atom_site_fract_z
Ta1 Ta 0.2415 0.0000 0.2461
Si1 Si 0.0000 0.5000 0.5000
Mo1 Mo 0.5000 0.5000 0.0000

=====

[2]
# BiAuO4 | the Alexandria database | PBE-GGA | relaxed
# Total magnetization   0.00 μB per formula unit
# Energy above the lowest structure with this stoichiometry   0 meV per atom
# E_form (uncorrected)   -0.423 eV per atom
data_BiAuO4
_cell_length_a 5.4754
_cell_length_b 5.4754
_cell_length_c 10.4233
_cell_angle_alpha 90.00
_cell_angle_beta 90.00
_cell_angle_gamma 90.00
_symmetry_space_group_name_H-M 'I 4/m c m'
_symmetry_Int_Tables_number 140
_symmetry_space_group_name_Hall '-I 4 2c'
loop_
_atom_site_label
_atom_site_type_symbol
_atom_site_fract_x
_atom_site_fract_y
_atom_site_fract_z
Bi1 Bi 0.0000 0.0000 0.2500
Au1 Au 0.0000 0.5000 0.0000
O1 O 0.1841 0.3159 0.1347

=====

[3]
# Ba3PmTh2As6 | the Alexandria database | PBE-GGA | relaxed
# Total magnetization   0.00 μB per formula unit
# Energy of formation   -1461 kJ/mol of formula units
data_Ba3PmTh2As6
_cell_length_a 7.6804
_cell_length_b 13.3094
_cell_length_c 7.9726
_cell_angle_alpha 90.00
_cell_angle_beta 108.74
_cell_angle_gamma 90.00
_symmetry_space_group_name_H-M 'C 1 2/m 1'
_symmetry_Int_Tables_number 12
loop_
_symmetry_equiv_pos_as_xyz
'x,y,z'
'-x,-y,-z'
'-x,y,-z'
'x,-y,z'
'x+1/2,y+1/2,z'
'-x+1/2,-y+1/2,-z'
'-x+1/2,y+1/2,-z'
'x+1/2,-y+1/2,z'
loop_
_atom_site_label
_atom_site_type_symbol
_atom_site_fract_x
_atom_site_fract_y
_atom_site_fract_z
Ba1 Ba 0.0000 0.0000 0.0000
Ba2 Ba 0.0000 0.3345 0.0000
Pm1 Pm 0.0000 0.5000 0.5000
Th1 Th 0.0000 0.1668 0.5000
As1 As 0.2341 0.0000 0.7129
As2 As 0.2396 0.3316 0.7135

=====

[4]
# Ir4Ru3Rh2 | the Alexandria database | PBE-GGA | relaxed
# Total magnetization   0.00 μB per formula unit
# Energy above the lowest structure with this stoichiometry   233 meV per atom
# Energy of formation   240 kJ/mol of formula units
data_Ir4Ru3Rh2
_cell_length_a 8.9431
_cell_length_b 11.8739
_cell_length_c 5.1674
_cell_angle_alpha 90.00
_cell_angle_beta 103.67
_cell_angle_gamma 90.00
_symmetry_space_group_name_H-M 'C 1 2/c 1'
_symmetry_Int_Tables_number 15
loop_
_symmetry_equiv_pos_as_xyz
'x,y,z'
'-x,-y,-z'
'-x,y,-z+1/2'
'x,-y,z+1/2'
'x+1/2,y+1/2,z'
'-x+1/2,-y+1/2,-z'
'-x+1/2,y+1/2,-z+1/2'
'x+1/2,-y+1/2,z+1/2'
loop_
_atom_site_label
_atom_site_type_symbol
_atom_site_fract_x
_atom_site_fract_y
_atom_site_fract_z
Ir1 Ir 0.1067 0.0814 0.4869
Ir2 Ir 0.1350 0.4908 0.6597
Ru1 Ru 0.0000 0.2972 0.7500
Ru2 Ru 0.1792 0.1381 0.9996
Rh1 Rh 0.1433 0.2980 0.3208